No. 1
VASP calculation (PBE-GGA) on a geometry-optimized TbCeTcIr structure.

Results
**Total moment**: 0.0 μB per cell
**Space-group type**: F-43m
**Calculated formation energy**: -349 meV/atom

abc: 4.8882 4.8882 4.8882
angles: 60.00 60.00 60.00
Fractional coordinates of all 4 atoms:
Tb 0.0000 0.0000 0.0000
Ce 0.5000 0.5000 0.5000
Tc 0.7500 0.7500 0.7500
Ir 0.2500 0.2500 0.2500

=====

No. 2
VASP calculation (PBE-GGA) on a geometry-optimized TbCeTeIr structure.

Results
**Total moment**: 0.3 μB per cell
**Space-group type**: R3m
**E_form (uncorrected)**: -402 kJ/mol of formula units

abc: 7.8226 7.8226 7.8226
angles: 30.64 30.64 30.64
Fractional coordinates of all 4 atoms:
Tb 0.0000 0.0000 0.0000
Ce 0.8034 0.8034 0.8034
Te 0.2367 0.2367 0.2367
Ir 0.4041 0.4041 0.4041

=====

Number 1: N(E_F) 3.4 states/eV per cell. Number 2: N(E_F) 5.1 states/eV per cell.